[1]
{"formula": "PaFeO6", "functional": "PBE+U", "state": "optimized geometry", "lattice_angstrom": [[-3.3723, -1.2023, -0.9484], [-1.9416, -0.2299, 4.4417], [-2.0650, 4.8550, 0.5174]], "species": ["O", "O", "O", "O", "O", "O", "Fe", "Pa"], "fractional_positions": [[0.8254, 0.5214, 0.7716], [0.5439, 0.8701, 0.2273], [0.1746, 0.4786, 0.2284], [0.4561, 0.1299, 0.7727], [0.9078, 0.2934, 0.3085], [0.0922, 0.7066, 0.6915], [0.5000, 0.5000, 0.5000], [0.0000, 0.0000, 0.0000]], "space_group": "P-1 (2)", "vol_a3_per_atom": 11.54}

***

[2]
{"formula": "PaFePbO5", "functional": "PBE+U", "state": "optimized geometry", "lattice_angstrom": [[-5.2388, 1.3139, 2.9045], [3.2566, -3.5962, 3.7510], [4.0583, 7.0138, -0.0460]], "species": ["Fe", "Fe", "O", "O", "O", "O", "O", "O", "O", "O", "O", "O", "Pb", "Pb", "Pa", "Pa"], "fractional_positions": [[0.6829, 0.3171, 0.2500], [0.3171, 0.6829, 0.7500], [0.9187, 0.0813, 0.7500], [0.7500, 0.6303, 0.4100], [0.6303, 0.7500, 0.9100], [0.3092, 0.9016, 0.6176], [0.6908, 0.0984, 0.3824], [0.3697, 0.2500, 0.0900], [0.0813, 0.9187, 0.2500], [0.9016, 0.3092, 0.1176], [0.0984, 0.6908, 0.8824], [0.2500, 0.3697, 0.5900], [0.3302, 0.6698, 0.2500], [0.6698, 0.3302, 0.7500], [0.0000, 0.0000, 0.0000], [0.0000, 0.0000, 0.5000]], "dos_ef_per_ev_cell": 0.000, "space_group": "C2/c (15)", "vol_a3_per_atom": 16.62}

***

[3]
{"formula": "PaFe3Pb4O12", "functional": "PBE+U", "state": "optimized geometry", "lattice_angstrom": [[7.0545, 0.0000, 0.0000], [-2.3515, 6.6511, 0.0000], [-2.3515, -3.3255, 5.7600]], "species": ["O", "O", "O", "O", "O", "O", "O", "O", "O", "O", "O", "O", "Fe", "Fe", "Fe", "Pb", "Pb", "Pb", "Pb", "Pa"], "fractional_positions": [[0.7394, 0.7394, 0.0000], [0.0000, 0.2606, 0.2606], [0.2500, 0.5000, 0.7500], [0.7500, 0.5000, 0.2500], [0.0000, 0.7394, 0.7394], [0.5000, 0.2500, 0.7500], [0.2606, 0.0000, 0.2606], [0.7500, 0.2500, 0.5000], [0.5000, 0.7500, 0.2500], [0.2500, 0.7500, 0.5000], [0.7394, 0.0000, 0.7394], [0.2606, 0.2606, 0.0000], [0.5000, 0.5000, 0.0000], [0.5000, 0.0000, 0.5000], [0.0000, 0.5000, 0.5000], [0.0000, 0.5000, 0.0000], [0.0000, 0.0000, 0.5000], [0.5000, 0.0000, 0.0000], [0.5000, 0.5000, 0.5000], [0.0000, 0.0000, 0.0000]], "dos_ef_per_ev_cell": 10.479, "space_group": "Im-3m (229)", "vol_a3_per_atom": 13.51}

***

[4]
{"formula": "PaFe2PbO8", "functional": "PBE+U", "state": "optimized geometry", "lattice_angstrom": [[-0.3082, -5.8442, 1.2412], [3.9342, 2.6638, 3.6354], [-5.3926, 2.4655, 0.7942]], "species": ["O", "O", "O", "O", "O", "O", "O", "O", "Fe", "Fe", "Pb", "Pa"], "fractional_positions": [[0.8832, 0.6969, 0.1863], [0.3031, 0.4894, 0.1863], [0.7538, 0.0606, 0.6932], [0.5106, 0.6969, 0.8137], [0.3031, 0.1168, 0.8137], [0.9394, 0.6326, 0.6932], [0.9394, 0.2462, 0.3068], [0.3674, 0.0606, 0.3068], [0.7500, 0.2500, 0.5000], [0.5000, 0.5000, 0.0000], [0.2500, 0.7500, 0.5000], [0.0000, 0.0000, 0.0000]], "dos_ef_per_ev_cell": 6.916, "space_group": "I-4m2 (119)", "vol_a3_per_atom": 13.73}

***

[5]
{"formula": "PaFePdO6", "functional": "PBE+U", "state": "optimized geometry", "lattice_angstrom": [[-3.2468, 2.5647, 3.2708], [-1.2961, -0.5869, -5.0787], [-4.0595, -7.5770, 1.9116]], "species": ["O", "O", "O", "O", "O", "O", "O", "O", "O", "O", "O", "O", "Pd", "Pd", "Pa", "Pa", "Fe", "Fe"], "fractional_positions": [[0.3140, 0.9845, 0.6210], [0.0155, 0.3295, 0.6210], [0.9845, 0.3140, 0.1210], [0.6705, 0.6860, 0.6210], [0.6705, 0.9845, 0.8790], [0.6860, 0.0155, 0.3790], [0.3295, 0.0155, 0.1210], [0.3140, 0.3295, 0.8790], [0.6860, 0.6705, 0.1210], [0.0155, 0.6860, 0.8790], [0.3295, 0.3140, 0.3790], [0.9845, 0.6705, 0.3790], [0.3333, 0.6667, 0.7500], [0.6667, 0.3333, 0.2500], [0.3333, 0.6667, 0.2500], [0.6667, 0.3333, 0.7500], [0.0000, 0.0000, 0.0000], [0.0000, 0.0000, 0.5000]], "space_group": "P-31c (163)", "vol_a3_per_atom": 11.79}

***

[6]
{"formula": "PmPaFeO6", "functional": "PBE+U", "state": "optimized geometry", "lattice_angstrom": [[4.8291, 0.0000, 0.0000], [0.0000, 5.3808, 0.0000], [0.0000, -2.6904, 4.6599]], "species": ["O", "O", "O", "O", "O", "O", "Pm", "Fe", "Pa"], "fractional_positions": [[0.7346, 0.6360, 0.6136], [0.2654, 0.6360, 0.0224], [0.7346, 0.3864, 0.0224], [0.7346, 0.9776, 0.3640], [0.2654, 0.3864, 0.3640], [0.2654, 0.9776, 0.6136], [0.5000, 0.0000, 0.0000], [0.5000, 0.6667, 0.3333], [0.0000, 0.3333, 0.6667]], "dos_ef_per_ev_cell": 4.646, "space_group": "P312 (149)", "vol_a3_per_atom": 13.45}

***

[7]
{"formula": "PaFePtO6", "functional": "PBE+U", "state": "optimized geometry", "lattice_angstrom": [[-4.1053, -2.2603, -2.4865], [4.9617, -1.1705, -1.4684], [0.1525, -6.8600, 5.9840]], "species": ["O", "O", "O", "O", "O", "O", "O", "O", "O", "O", "O", "O", "Pt", "Pt", "Fe", "Fe", "Pa", "Pa"], "fractional_positions": [[0.3171, 0.9803, 0.6239], [0.9803, 0.6631, 0.3761], [0.6631, 0.9803, 0.8761], [0.6829, 0.0197, 0.3761], [0.0197, 0.6829, 0.8761], [0.6631, 0.6829, 0.6239], [0.3171, 0.3369, 0.8761], [0.9803, 0.3171, 0.1239], [0.0197, 0.3369, 0.6239], [0.3369, 0.3171, 0.3761], [0.6829, 0.6631, 0.1239], [0.3369, 0.0197, 0.1239], [0.3333, 0.6667, 0.7500], [0.6667, 0.3333, 0.2500], [0.0000, 0.0000, 0.5000], [0.0000, 0.0000, 0.0000], [0.3333, 0.6667, 0.2500], [0.6667, 0.3333, 0.7500]], "space_group": "P-31c (163)", "vol_a3_per_atom": 12.33}

***

[8]
{"formula": "PaFePt2O8", "functional": "PBE+U", "state": "optimized geometry", "lattice_angstrom": [[5.9024, 0.4333, 0.0000], [-2.2295, 5.4822, 0.0000], [-1.8364, -2.9577, 4.7859]], "species": ["O", "O", "O", "O", "O", "O", "O", "O", "Pt", "Pt", "Fe", "Pa"], "fractional_positions": [[0.3554, 0.0265, 0.3288], [0.9735, 0.6446, 0.6712], [0.2832, 0.4670, 0.1837], [0.5330, 0.7168, 0.8163], [0.2832, 0.0995, 0.8163], [0.9005, 0.7168, 0.1837], [0.6977, 0.0265, 0.6712], [0.9735, 0.3023, 0.3288], [0.7500, 0.2500, 0.5000], [0.5000, 0.5000, 0.0000], [0.2500, 0.7500, 0.5000], [0.0000, 0.0000, 0.0000]], "dos_ef_per_ev_cell": 0.846, "space_group": "I-4m2 (119)", "vol_a3_per_atom": 13.29}

***

[9]
{"formula": "RbPa2FeO8", "functional": "PBE+U", "state": "optimized geometry", "lattice_angstrom": [[-3.1231, 0.5087, -4.2322], [2.8269, -3.0855, -3.2175], [-3.7423, -5.6064, 2.0856]], "species": ["Pa", "Pa", "O", "O", "O", "O", "O", "O", "O", "O", "Rb", "Fe"], "fractional_positions": [[0.5000, 0.5000, 0.2438], [0.5000, 0.5000, 0.7562], [0.8110, 0.1901, 0.8198], [0.6557, 0.6576, 0.5000], [0.3335, 0.3324, 0.0000], [0.6665, 0.6676, 0.0000], [0.1890, 0.8099, 0.1802], [0.3443, 0.3424, 0.5000], [0.1891, 0.8100, 0.8198], [0.8109, 0.1900, 0.1802], [0.0000, 0.0000, 0.5000], [0.0000, 0.0000, 0.0000]], "dos_ef_per_ev_cell": 4.056, "space_group": "P2/m (10)", "vol_a3_per_atom": 16.29}

***

Number 1: DFT total energy -7.36 eV/atom, M_tot 2.99 Bohr magnetons per cell. Number 2: DFT total energy -7.76 eV/atom, M_tot 10.00 Bohr magnetons per cell. Number 3: DFT total energy -6.54 eV/atom, M_tot 13.13 Bohr magnetons per cell. Number 4: DFT total energy -7.04 eV/atom, M_tot 8.99 Bohr magnetons per cell. Number 5: DFT total energy -7.14 eV/atom, M_tot 2.02 Bohr magnetons per cell. Number 6: DFT total energy -7.91 eV/atom, M_tot 2.00 Bohr magnetons per cell. Number 7: DFT total energy -7.52 eV/atom, M_tot 9.91 Bohr magnetons per cell. Number 8: DFT total energy -6.78 eV/atom, M_tot 4.96 Bohr magnetons per cell. Number 9: DFT total energy -7.78 eV/atom, M_tot 4.98 Bohr magnetons per cell.